A plane-wave DFT calculation with PBE was carried out for crystalline TbPr5Sn5 at its relaxed geometry.

The structure in POSCAR format:
```
TbPr5Sn5
1.0
6.376 0.000 0.000
-3.188 7.322 0.053
0.000 -2.684 8.273
Pr Tb Sn
5 1 5
Direct
0.667 0.333 0.832
0.333 0.667 0.168
0.671 0.341 0.332
0.000 0.000 0.500
0.329 0.659 0.668
0.000 0.000 0.000
0.500 0.000 0.000
0.162 0.324 0.835
0.837 0.675 0.670
0.838 0.676 0.165
0.163 0.325 0.330
```

## Properties
ΔH_f (0 K): -11.15 kcal/mol of atoms
DOS(E_F): 0.951 states/eV per atom


A plane-wave DFT calculation with PBE was carried out for crystalline TbErSiIr at its relaxed geometry.

The structure in POSCAR format:
```
TbErSiIr
1.0
4.169 0.000 0.000
0.000 3.959 0.000
-2.085 0.000 5.283
Si Ir Tb Er
1 1 1 1
Direct
0.568 0.500 0.136
0.425 0.000 0.850
0.145 0.000 0.290
0.862 0.500 0.724
```

## Properties
Electronic total energy: -6.743 eV/atom
DOS(E_F): 0.570 states/eV per atom


A plane-wave DFT calculation with PBE was carried out for crystalline PbI2N2 at its relaxed geometry.

The structure in POSCAR format:
```
PbI2N2
1.0
4.456 0.000 0.000
0.000 4.456 0.000
0.000 0.000 7.583
I N Pb
2 2 1
Direct
0.000 0.000 0.000
0.000 0.000 0.500
0.000 0.500 0.000
0.500 0.000 0.000
0.500 0.500 0.500
```

## Properties
Electronic total energy: -3.027 eV/atom
DOS(E_F): 0.682 states/eV per atom


A plane-wave DFT calculation with PBE was carried out for crystalline KDy2Cl2F5 at its relaxed geometry.

The structure in POSCAR format:
```
KDy2Cl2F5
1.0
-1.049 -0.563 3.248
-8.918 -2.270 -3.273
2.664 -9.366 -0.764
F K Dy Cl
10 2 4 4
Direct
0.500 0.229 0.078
0.500 0.422 0.271
0.500 0.000 0.500
0.500 0.078 0.771
0.500 0.578 0.729
0.500 0.729 0.422
0.500 0.922 0.229
0.500 0.500 0.000
0.500 0.271 0.578
0.500 0.771 0.922
0.000 0.000 0.000
0.000 0.500 0.500
0.000 0.870 0.370
0.000 0.630 0.870
0.000 0.370 0.130
0.000 0.130 0.630
0.000 0.666 0.166
0.000 0.834 0.666
0.000 0.334 0.834
0.000 0.166 0.334
```

## Properties
Electronic total energy: -5.608 eV/atom
DOS(E_F): 0.000 states/eV per atom


A plane-wave DFT calculation with PBE was carried out for crystalline Ac4Pm4Dy3 at its relaxed geometry.

The structure in POSCAR format:
```
Ac4Pm4Dy3
1.0
3.705 0.004 -0.024
-0.010 5.765 -0.867
0.110 -0.054 19.219
Ac Dy Pm
4 3 4
Direct
0.728 0.721 0.441
0.726 0.090 0.179
0.229 0.906 0.814
0.229 0.279 0.557
0.226 0.635 0.268
0.729 0.365 0.732
0.226 0.000 0.001
0.227 0.179 0.358
0.729 0.820 0.640
0.225 0.543 0.087
0.726 0.461 0.923
```

## Properties
ΔH_f (0 K): 0.93 kcal/mol of atoms
DOS(E_F): 1.452 states/eV per atom


A plane-wave DFT calculation with PBE was carried out for crystalline LiScAg3 at its relaxed geometry.

The structure in POSCAR format:
```
LiScAg3
1.0
5.234 0.000 0.000
0.000 5.234 0.000
0.000 0.000 5.234
Ag Li Sc
3 1 1
Direct
0.000 0.000 0.500
0.000 0.500 0.000
0.500 0.000 0.000
0.500 0.500 0.500
0.000 0.000 0.000
```

## Properties
ΔH_f (0 K): 14.62 kcal/mol of atoms
DOS(E_F): 0.499 states/eV per atom


A plane-wave DFT calculation with PBE was carried out for crystalline Tm4PPtSe2 at its relaxed geometry.

The structure in POSCAR format:
```
Tm4PPtSe2
1.0
3.968 0.000 0.000
0.000 7.041 -0.182
0.000 2.437 6.578
Tm Se Pt P
4 2 1 1
Direct
0.500 0.731 0.259
0.000 0.271 0.243
0.000 0.729 0.757
0.500 0.269 0.741
0.000 0.000 0.000
0.500 0.000 0.500
0.500 0.500 0.000
0.000 0.500 0.500
```

## Properties
Electronic total energy: -6.096 eV/atom
DOS(E_F): 0.622 states/eV per atom


A plane-wave DFT calculation with PBE was carried out for crystalline ReRuW at its relaxed geometry.

The structure in POSCAR format:
```
ReRuW
1.0
4.228 0.000 0.000
2.114 3.661 0.000
2.114 1.220 3.452
Ru Re W
1 1 1
Direct
0.500 0.500 0.500
0.000 0.000 0.000
0.750 0.750 0.750
```

## Properties
ΔH_f (0 K): 17.00 kcal/mol of atoms
DOS(E_F): 1.215 states/eV per atom


A plane-wave DFT calculation with PBE was carried out for crystalline Mg2Al3 at its relaxed geometry.

The structure in POSCAR format:
```
Mg2Al3
1.0
-0.695 -2.749 0.849
1.420 -1.249 2.277
-8.298 3.250 8.879
Al Mg
3 2
Direct
0.896 0.896 0.312
0.104 0.104 0.688
0.500 0.500 0.500
0.297 0.297 0.110
0.703 0.703 0.890
```

## Properties
ΔH_f (0 K): 0.95 kcal/mol of atoms
DOS(E_F): 0.290 states/eV per atom


A plane-wave DFT calculation with PBE was carried out for crystalline LaSm2Dy6 at its relaxed geometry.

The structure in POSCAR format:
```
LaSm2Dy6
1.0
-1.489 -5.676 -4.529
4.539 -5.856 -0.218
-2.372 -6.643 3.039
Dy Sm La
6 2 1
Direct
0.784 0.259 0.697
0.613 0.049 0.289
0.049 0.049 0.289
0.049 0.613 0.289
0.259 0.259 0.697
0.259 0.784 0.697
0.579 0.579 0.263
0.756 0.756 0.733
0.317 0.317 0.050
```

## Properties
ΔH_f (0 K): 7.12 kcal/mol of atoms
DOS(E_F): 1.358 states/eV per atom


A plane-wave DFT calculation with PBE was carried out for crystalline H2PtCl at its relaxed geometry.

The structure in POSCAR format:
```
H2PtCl
1.0
5.188 0.000 0.000
0.000 5.188 0.000
2.594 2.594 3.777
H Pt Cl
4 2 2
Direct
0.375 0.221 0.750
0.875 0.029 0.750
0.971 0.625 0.250
0.779 0.125 0.250
0.750 0.250 0.500
0.000 0.000 0.000
0.250 0.750 0.500
0.500 0.500 0.000
```

## Properties
Electronic total energy: -3.406 eV/atom
DOS(E_F): 0.000 states/eV per atom


A plane-wave DFT calculation with PBE was carried out for crystalline Cs3PbAu2Cl9 at its relaxed geometry.

The structure in POSCAR format:
```
Cs3PbAu2Cl9
1.0
7.575 0.000 0.000
-3.788 6.560 0.000
0.000 0.000 9.323
Au Cl Cs Pb
2 9 3 1
Direct
0.333 0.667 0.151
0.667 0.333 0.849
0.346 0.173 0.679
0.827 0.654 0.679
0.654 0.827 0.321
0.500 0.500 0.000
0.500 0.000 0.000
0.173 0.827 0.321
0.827 0.173 0.679
0.000 0.500 0.000
0.173 0.346 0.321
0.000 0.000 0.000
0.667 0.333 0.329
0.333 0.667 0.671
0.000 0.000 0.500
```

## Properties
Electronic total energy: -3.097 eV/atom
DOS(E_F): 0.301 states/eV per atom


A plane-wave DFT calculation with PBE was carried out for crystalline MgCd12In6 at its relaxed geometry.

The structure in POSCAR format:
```
MgCd12In6
1.0
-7.695 0.536 2.508
1.672 -7.933 0.251
4.342 3.185 6.066
Cd In Mg
12 6 1
Direct
0.205 0.729 0.940
0.060 0.795 0.271
0.462 0.808 0.374
0.626 0.538 0.192
0.729 0.940 0.205
0.795 0.271 0.060
0.192 0.626 0.538
0.538 0.192 0.626
0.940 0.205 0.729
0.808 0.374 0.462
0.271 0.060 0.795
0.374 0.462 0.808
0.871 0.785 0.578
0.785 0.578 0.871
0.422 0.129 0.215
0.215 0.422 0.129
0.578 0.871 0.785
0.129 0.215 0.422
0.000 0.000 0.000
```

## Properties
ΔH_f (0 K): 0.79 kcal/mol of atoms
DOS(E_F): 0.367 states/eV per atom


A plane-wave DFT calculation with PBE was carried out for crystalline TmCdPt at its relaxed geometry.

The structure in POSCAR format:
```
TmCdPt
1.0
4.675 0.000 0.000
2.337 4.049 0.000
2.337 1.350 3.817
Tm Pt Cd
1 1 1
Direct
0.000 0.000 0.000
0.250 0.250 0.250
0.500 0.500 0.500
```

## Properties
ΔH_f (0 K): -18.39 kcal/mol of atoms
DOS(E_F): 0.538 states/eV per atom


A plane-wave DFT calculation with PBE was carried out for crystalline NiSbPt at its relaxed geometry.

The structure in POSCAR format:
```
NiSbPt
1.0
-1.115 -2.561 3.142
-1.984 -0.224 -3.699
2.180 -2.219 -1.035
Pt Sb Ni
1 1 1
Direct
0.333 0.667 0.346
0.667 0.333 0.725
0.000 0.000 0.929
```

## Properties
Electronic total energy: -5.372 eV/atom
DOS(E_F): 0.696 states/eV per atom


A plane-wave DFT calculation with PBE was carried out for crystalline LaTb2Ge at its relaxed geometry.

The structure in POSCAR format:
```
LaTb2Ge
1.0
-2.172 2.734 1.491
0.047 0.632 3.743
6.683 7.642 0.551
Ge La Tb
1 1 2
Direct
0.000 0.000 0.000
0.500 0.500 0.500
0.730 0.730 0.809
0.270 0.270 0.191
```

## Properties
ΔH_f (0 K): -5.79 kcal/mol of atoms
DOS(E_F): 1.432 states/eV per atom


A plane-wave DFT calculation with PBE was carried out for crystalline CrGeMo2N at its relaxed geometry.

The structure in POSCAR format:
```
CrGeMo2N
1.0
4.132 0.000 0.000
0.000 4.132 0.000
0.000 0.000 3.857
Mo N Ge Cr
2 1 1 1
Direct
0.500 0.000 0.000
0.000 0.500 0.000
0.000 0.000 0.000
0.500 0.500 0.500
0.000 0.000 0.500
```

## Properties
Electronic total energy: -8.979 eV/atom
DOS(E_F): 0.826 states/eV per atom


A plane-wave DFT calculation with PBE was carried out for crystalline CuPb5 at its relaxed geometry.

The structure in POSCAR format:
```
CuPb5
1.0
1.700 -9.142 0.000
1.700 9.142 0.000
0.000 0.000 5.715
Cu Pb
1 5
Direct
0.973 0.027 0.000
0.472 0.528 0.500
0.601 0.399 0.000
0.140 0.860 0.500
0.804 0.196 0.500
0.344 0.656 0.000
```

## Properties
ΔH_f (0 K): 3.25 kcal/mol of atoms
DOS(E_F): 0.406 states/eV per atom


A plane-wave DFT calculation with PBE was carried out for crystalline RbPdPbCl6 at its relaxed geometry.

The structure in POSCAR format:
```
RbPdPbCl6
1.0
-1.522 -5.782 -3.714
4.165 -5.617 0.761
-3.925 -2.313 5.410
Cl Rb Pd Pb
6 1 1 1
Direct
0.051 0.343 0.307
0.605 0.338 0.696
0.346 0.049 0.694
0.610 0.041 0.275
0.335 0.607 0.304
0.039 0.609 0.726
0.002 0.002 0.999
0.333 0.333 0.500
0.679 0.678 0.499
```

## Properties
Electronic total energy: -3.309 eV/atom


A plane-wave DFT calculation with PBE was carried out for crystalline LiBeZn at its relaxed geometry.

The structure in POSCAR format:
```
LiBeZn
1.0
-0.911 4.362 -0.389
-4.166 1.424 0.789
3.678 -2.014 1.555
Zn Be Li
1 1 1
Direct
0.346 0.346 0.000
0.988 0.988 0.000
0.666 0.666 0.000
```

## Properties
ΔH_f (0 K): 1.35 kcal/mol of atoms
DOS(E_F): 0.221 states/eV per atom


A plane-wave DFT calculation with PBE was carried out for crystalline ReTe2Br at its relaxed geometry.

The structure in POSCAR format:
```
ReTe2Br
1.0
3.233 0.000 0.000
0.000 3.233 0.000
0.000 0.000 9.156
Br Te Re
1 2 1
Direct
0.500 0.500 0.250
0.000 0.000 0.563
0.000 0.000 0.937
0.500 0.500 0.750
```

## Properties
Electronic total energy: -4.858 eV/atom
DOS(E_F): 0.878 states/eV per atom


A plane-wave DFT calculation with PBE was carried out for crystalline MgP2OsS at its relaxed geometry.

The structure in POSCAR format:
```
MgP2OsS
1.0
4.436 0.000 0.000
0.000 4.436 0.000
0.000 0.000 5.427
P Mg S Os
2 1 1 1
Direct
0.500 0.000 0.000
0.000 0.500 0.000
0.500 0.500 0.500
0.000 0.000 0.500
0.000 0.000 0.000
```

## Properties
Electronic total energy: -5.216 eV/atom
DOS(E_F): 0.679 states/eV per atom


A plane-wave DFT calculation with PBE was carried out for crystalline Ag2Hg2I7 at its relaxed geometry.

The structure in POSCAR format:
```
Ag2Hg2I7
1.0
10.033 -0.070 -0.080
-1.020 7.485 -1.561
-1.020 -2.543 7.211
I Ag Hg
7 2 2
Direct
0.808 0.952 0.582
0.829 0.308 0.308
0.171 0.692 0.692
0.192 0.048 0.418
0.192 0.418 0.048
0.500 0.000 0.000
0.808 0.582 0.952
0.000 0.666 0.334
0.000 0.334 0.666
0.222 0.088 0.088
0.778 0.912 0.912
```

## Properties
Electronic total energy: -1.732 eV/atom
DOS(E_F): 0.242 states/eV per atom


A plane-wave DFT calculation with PBE was carried out for crystalline Pr3TlTe4 at its relaxed geometry.

The structure in POSCAR format:
```
Pr3TlTe4
1.0
4.545 0.000 0.000
-2.272 3.936 0.000
0.000 0.000 31.469
Te Pr Tl
8 6 2
Direct
0.000 0.000 0.676
0.667 0.333 0.559
0.333 0.667 0.441
0.000 0.000 0.824
0.000 0.000 0.324
0.667 0.333 0.941
0.333 0.667 0.059
0.000 0.000 0.176
0.000 0.000 0.500
0.667 0.333 0.382
0.333 0.667 0.618
0.667 0.333 0.118
0.333 0.667 0.882
0.000 0.000 0.000
0.333 0.667 0.250
0.667 0.333 0.750
```

## Properties
Electronic total energy: -4.913 eV/atom
DOS(E_F): 0.457 states/eV per atom


A plane-wave DFT calculation with PBE was carried out for crystalline NaLiCu4 at its relaxed geometry.

The structure in POSCAR format:
```
NaLiCu4
1.0
-1.219 -4.746 -1.030
1.550 -2.113 -4.266
3.513 -3.566 0.105
Cu Na Li
4 1 1
Direct
0.625 0.625 0.126
0.625 0.625 0.625
0.126 0.625 0.625
0.625 0.126 0.625
0.000 0.000 0.000
0.250 0.250 0.250
```

## Properties
ΔH_f (0 K): 0.19 kcal/mol of atoms
DOS(E_F): 0.136 states/eV per atom


What are the V values for these records? In order: 387.1, 87.2, 150.6, 330.0, 410.4, 143.4, 185.5, 53.4, 94.5, 303.5, 101.6, 463.3, 471.3, 72.2, 50.2, 123.9, 65.9, 177.6, 308.8, 36.2, 95.7, 106.8, 500.3, 562.9, 88.7 Å³ per cell.
What are the total magnetization values for these records? In order: 0.04, 0.00, 0.31, 0.00, 0.00, 0.00, 0.00, 0.00, 0.00, 0.00, 0.00, 0.00, 0.00, 0.00, 0.00, 0.00, 0.24, 0.00, 0.11, 0.00, 0.00, 0.00, 0.00, 0.00, 0.00 μB/atom.